Compound: LaWIO2
Source: Alexandria
Functional: PBE with a Hubbard U
Structure: optimized geometry

Calculated values
Crystal system = tetragonal
E above lowest polymorph = 467.8 meV per atom
N(E_F) = 0.791 states/eV/atom
Space group = P4/mmm (123)
Mass density = 5.9 g cm⁻³

Cell lengths 4.4315, 4.4315, 6.9583 Å; angles 90.00, 90.00, 90.00 degrees
With the nearest neighbours (Å) after each atom.
Positions (direct):
I (0.0000, 0.0000, 0.5000)  4 W 3.13, 2 La 3.48
O (0.0000, 0.5000, 0.0000)  2 La 2.22
O (0.5000, 0.0000, 0.0000)  2 La 2.22
W (0.5000, 0.5000, 0.5000)  4 I 3.13
La (0.0000, 0.0000, 0.0000)  4 O 2.22